1.
Below is an optimized crystal structure of TlCrSbI6, with properties calculated at the PBE-GGA level.

Cell: 7.6741 7.6741 7.6322 Å, 90.00 90.00 59.99°
Closest atoms and distances in Å follow each position.
Fractional coordinates of all 9 atoms:
I (0.9810, 0.6408, 0.7212)  1 Cr 2.87, 1 Sb 3.06
Sb (0.3333, 0.3334, 0.5000)  6 I 3.06
I (0.9810, 0.3782, 0.2789)  1 Cr 2.87, 1 Sb 3.06
Cr (0.6666, 0.6666, 0.5000)  6 I 2.87
I (0.6408, 0.9810, 0.2788)  1 Cr 2.87, 1 Sb 3.06
I (0.3782, 0.9810, 0.7211)  1 Cr 2.87, 1 Sb 3.06
I (0.6407, 0.3782, 0.7211)  1 Cr 2.87, 1 Sb 3.06
I (0.3782, 0.6408, 0.2788)  1 Cr 2.87, 1 Sb 3.06
Tl (0.0000, 0.0000, 0.0000)  6 I 3.54

**Raw formation energy**: -3.292 eV/f.u.
**V**: 389 Å³/cell
**Space group**: P312 (149)

---

2.
Below is an optimized crystal structure of NaFe2Ni, with properties calculated at the PBE-GGA level.

Cell: 4.2496 4.2496 4.2496 Å, 60.00 60.00 60.00°
Closest atoms and distances in Å follow each position.
Fractional coordinates of all 4 atoms:
Fe (0.7500, 0.7500, 0.7500)  4 Ni 2.60, 4 Na 2.60
Ni (0.5000, 0.5000, 0.5000)  8 Fe 2.60
Na (0.0000, 0.0000, 0.0000)  8 Fe 2.60
Fe (0.2500, 0.2500, 0.2500)  4 Ni 2.60, 4 Na 2.60

**V**: 54 Å³/cell
**Space group**: Fm-3m (225)
**Formation energy**: 67.0 kJ per mole of atoms

---

3.
Below is an optimized crystal structure of GaSnAu, with properties calculated at the PBE-GGA level.

Cell: 4.5365 4.5362 7.5853 Å, 107.85 72.12 90.34°
Closest atoms and distances in Å follow each position.
Fractional coordinates of all 6 atoms:
Ga (0.3213, 0.0624, 0.3704)  4 Au 2.65
Sn (0.0711, 0.3131, 0.8705)  4 Au 3.04-3.07, 4 Sn 3.20-3.22
Ga (0.8244, 0.5650, 0.3705)  4 Au 2.65
Au (0.2225, 0.6640, 0.5708)  4 Ga 2.65
Sn (0.5720, 0.8124, 0.8703)  4 Au 3.04-3.07, 4 Sn 3.20-3.22
Au (0.9230, 0.9633, 0.1701)  4 Ga 2.65

**V**: 141 Å³/cell
**Space group**: C2 (5)
**Formation energy**: -12.4 kJ per mole of atoms